Entry P
Ca2Tl3Ag2 | PBE-GGA | relaxed

a = 4.372 Å, b = 6.148 Å, c = 7.629 Å
α = 96.31°, β = 90.00°, γ = 110.83°
Atoms (fractional coordinates):
Tl  0.295  0.590  0.151
Tl  0.000  0.000  0.000
Tl  0.705  0.410  0.849
Ca  0.381  0.763  0.664
Ca  0.619  0.237  0.336
Ag  0.910  0.820  0.364
Ag  0.090  0.180  0.636

The value obtained for the total magnetic moment is 0.00 μB/atom. As for the density of states at the Fermi level: 0.46 states/eV per atom.

=====

Entry Q
Ca2Tl3Ag2 | PBE-GGA | relaxed

a = 3.849 Å, b = 4.663 Å, c = 10.863 Å
α = 102.40°, β = 90.00°, γ = 90.00°
Atoms (fractional coordinates):
Ca  0.000  0.836  0.672
Ca  0.000  0.164  0.328
Ag  0.500  0.286  0.572
Ag  0.500  0.714  0.428
Tl  0.500  0.576  0.151
Tl  0.500  0.424  0.849
Tl  0.000  0.000  0.000

The value obtained for the total magnetic moment is 0.00 μB/atom. As for the density of states at the Fermi level: 0.60 states/eV per atom.

=====

Computed energies relative to the best structure, in meV/atom: entry P 5; entry Q 0

=====

Entry P
Ca3Tl4Ag2 | PBE-GGA | relaxed

a = 5.059 Å, b = 6.230 Å, c = 8.870 Å
α = 75.08°, β = 73.43°, γ = 66.05°
Atoms (fractional coordinates):
Ca  0.000  0.000  0.000
Ca  0.673  0.308  0.346
Ca  0.327  0.692  0.654
Tl  0.956  0.715  0.373
Tl  0.282  0.372  0.064
Tl  0.044  0.285  0.627
Tl  0.718  0.628  0.936
Ag  0.595  0.080  0.729
Ag  0.405  0.920  0.271

The value obtained for the total magnetic moment is 0.00 μB/atom. As for the density of states at the Fermi level: 0.40 states/eV per atom.

=====

Entry Q
Ca3Tl4Ag2 | PBE-GGA | relaxed

a = 4.892 Å, b = 6.326 Å, c = 9.171 Å
α = 104.77°, β = 90.00°, γ = 112.74°
Atoms (fractional coordinates):
Tl  0.911  0.821  0.334
Tl  0.326  0.651  0.963
Tl  0.089  0.179  0.666
Tl  0.674  0.349  0.037
Ca  0.000  0.000  0.000
Ca  0.617  0.235  0.375
Ca  0.383  0.765  0.625
Ag  0.265  0.530  0.264
Ag  0.735  0.470  0.736

The value obtained for the total magnetic moment is 0.00 μB/atom. As for the density of states at the Fermi level: 0.46 states/eV per atom.

=====

Computed energies relative to the best structure, in meV/atom: entry P 0; entry Q 66

=====

Entry P
CaTlAg3 | PBE-GGA | relaxed

a = 5.596 Å, b = 5.596 Å, c = 5.596 Å
α = 90.00°, β = 90.00°, γ = 90.00°
Atoms (fractional coordinates):
Tl  0.500  0.500  0.500
Ag  0.000  0.000  0.500
Ag  0.500  0.000  0.000
Ag  0.000  0.500  0.000
Ca  0.000  0.000  0.000

The value obtained for the total magnetic moment is 0.00 μB/atom. As for the density of states at the Fermi level: 0.34 states/eV per atom.

=====

Entry Q
CaTlAg3 | PBE-GGA | relaxed

a = 5.679 Å, b = 10.502 Å, c = 7.132 Å
α = 137.41°, β = 113.46°, γ = 90.00°
Atoms (fractional coordinates):
Ag  0.750  0.045  0.500
Ag  0.250  0.955  0.500
Ag  0.819  0.319  0.138
Ag  0.319  0.319  0.138
Ag  0.181  0.681  0.862
Ag  0.681  0.681  0.862
Tl  0.500  0.000  0.000
Tl  0.000  0.500  0.000
Ca  0.250  0.246  0.500
Ca  0.750  0.754  0.500

The value obtained for the total magnetic moment is 0.00 μB/atom. As for the density of states at the Fermi level: 0.53 states/eV per atom.

=====

Computed energies relative to the best structure, in meV/atom: entry P 707; entry Q 0